{
  "formula": "SrSc2Sn2",
  "functional": "PBE",
  "state": "optimized geometry",
  "de_polymorph_mev_per_atom": 0.0,
  "dos_at_fermi_per_ev_fu": 4.1,
  "e_form_kcal_per_mol_atoms": -12.50,
  "lattice_angstrom": [[4.767, 0.000, 0.000], [0.000, 4.767, 0.000], [0.000, 0.000, 12.977]],
  "species": ["Sr", "Sr", "Sc", "Sc", "Sc", "Sc", "Sn", "Sn", "Sn", "Sn"],
  "fractional_positions": [[0.000, 0.000, 0.000], [0.500, 0.500, 0.500], [0.000, 0.500, 0.250], [0.000, 0.500, 0.750], [0.500, 0.000, 0.250], [0.500, 0.000, 0.750], [0.000, 0.000, 0.384], [0.000, 0.000, 0.616], [0.500, 0.500, 0.116], [0.500, 0.500, 0.884]]
}